[1]
# LaDy4Cd2 (PBE, optimized geometry)
data_LaDy4Cd2
_cell_length_a 5.0775
_cell_length_b 5.0775
_cell_length_c 31.5289
_cell_angle_alpha 90.00
_cell_angle_beta 90.00
_cell_angle_gamma 120.00
_symmetry_space_group_name_H-M 'R -3 m'
_symmetry_Int_Tables_number 166
_symmetry_space_group_name_Hall '-R 3 2"'
loop_
_atom_site_label
_atom_site_fract_x
_atom_site_fract_y
_atom_site_fract_z
La1 0.0000 0.0000 0.0000
Dy1 0.0000 0.0000 0.2022
Dy2 0.0000 0.0000 0.3951
Cd1 0.0000 0.0000 0.1016
# * size of the total moment: 0.2 μB/cell
# * formation enthalpy at 0 K: 19.7 kJ per mole of atoms
# * total DFT energy (no corrections): -3.391 eV per atom

---

[2]
# La3DyCd2 (PBE, optimized geometry)
data_La3DyCd2
_cell_length_a 3.8574
_cell_length_b 3.8574
_cell_length_c 12.9071
_cell_angle_alpha 90.00
_cell_angle_beta 90.00
_cell_angle_gamma 90.00
_symmetry_space_group_name_H-M 'P 4/m m m'
_symmetry_Int_Tables_number 123
_symmetry_space_group_name_Hall '-P 4 2'
loop_
_atom_site_label
_atom_site_fract_x
_atom_site_fract_y
_atom_site_fract_z
La1 0.0000 0.0000 0.0000
La2 0.0000 0.0000 0.3128
Dy1 0.5000 0.5000 0.5000
Cd1 0.5000 0.5000 0.1594
# * size of the total moment: 0.2 μB/cell
# * formation enthalpy at 0 K: -18.6 kJ per mole of atoms
# * total DFT energy (no corrections): -3.729 eV per atom

---

[3]
# LaDy7Cd4 (PBE, optimized geometry)
data_LaDy7Cd4
_cell_length_a 14.7422
_cell_length_b 5.7373
_cell_length_c 9.7441
_cell_angle_alpha 90.00
_cell_angle_beta 122.09
_cell_angle_gamma 90.00
_symmetry_space_group_name_H-M 'C 1 2/m 1'
_symmetry_Int_Tables_number 12
_symmetry_space_group_name_Hall '-C 2y'
loop_
_atom_site_label
_atom_site_fract_x
_atom_site_fract_y
_atom_site_fract_z
La1 0.0000 0.0000 0.0000
Dy1 0.0000 0.5000 0.0000
Dy2 0.0714 0.0000 0.4143
Dy3 0.2061 0.0000 0.8803
Dy4 0.2354 0.5000 0.6908
Cd1 0.0411 0.5000 0.7129
Cd2 0.1822 0.5000 0.3403
# * size of the total moment: 0.0 μB/cell
# * formation enthalpy at 0 K: 0.4 kJ per mole of atoms
# * total DFT energy (no corrections): -3.396 eV per atom

---

[4]
# LaDy3Cd (PBE, optimized geometry)
data_LaDy3Cd
_cell_length_a 3.5895
_cell_length_b 11.0251
_cell_length_c 8.6698
_cell_angle_alpha 90.00
_cell_angle_beta 101.87
_cell_angle_gamma 90.00
_symmetry_space_group_name_H-M 'P 1 21/m 1'
_symmetry_Int_Tables_number 11
_symmetry_space_group_name_Hall '-P 2yb'
loop_
_atom_site_label
_atom_site_fract_x
_atom_site_fract_y
_atom_site_fract_z
La1 0.0194 0.2500 0.0412
Dy1 0.1589 0.5103 0.3162
Dy2 0.2938 0.7500 0.5878
Cd1 0.3577 0.2500 0.7166
# * size of the total moment: 0.0 μB/cell
# * formation enthalpy at 0 K: 5.0 kJ per mole of atoms
# * total DFT energy (no corrections): -3.878 eV per atom